# 1
# PbSeBr2, optimized geometry, DFT PBE
# offset from the most stable computed form: 717.7 meV per atom
# formation energy (no corrections): 253.4 meV per atom
# ρ: 6563 kg/m3
data_PbSeBr2
_chemical_formula_sum 'Pb3 Se3 Br6'
_cell_length_a 3.5327
_cell_length_b 3.5327
_cell_length_c 31.3201
_cell_angle_alpha 90.00
_cell_angle_beta 90.00
_cell_angle_gamma 120.00
_space_group_name_H-M_alt 'R -3 m'
_space_group_IT_number 166
_space_group_name_Hall '-R 3 2"'
loop_
_atom_site_label
_atom_site_type_symbol
_atom_site_fract_x
_atom_site_fract_y
_atom_site_fract_z
_atom_site_occupancy
Pb1 Pb 0.0000 0.0000 0.0000 1
Se1 Se 0.0000 0.0000 0.5000 1
Br1 Br 0.0000 0.0000 0.0937 1

# 2
# CuHPd3, optimized geometry, DFT PBE
# offset from the most stable computed form: 193.9 meV per atom
# ρ: 9343 kg/m3
data_CuHPd3
_chemical_formula_sum 'Cu4 H4 Pd12'
_cell_length_a 4.750
_cell_length_b 7.605
_cell_length_c 7.554
_cell_angle_alpha 90.00
_cell_angle_beta 90.00
_cell_angle_gamma 90.00
_space_group_name_H-M_alt 'P n m a'
_space_group_IT_number 62
_space_group_name_Hall '-P 2ac 2n'
loop_
_atom_site_label
_atom_site_type_symbol
_atom_site_fract_x
_atom_site_fract_y
_atom_site_fract_z
_atom_site_occupancy
Cu1 Cu 0.000 0.000 0.000 1
H1 H 0.002 0.250 0.498 1
Pd1 Pd 0.023 0.572 0.662 1
Pd2 Pd 0.243 0.750 0.332 1

# 3
# Pr8CuRu3Br4, optimized geometry, DFT PBE
# formation energy (no corrections): -772.5 meV per atom
# ρ: 6412 kg/m3
data_Pr8CuRu3Br4
_chemical_formula_sum 'Pr24 Cu3 Ru9 Br12'
_cell_length_a 8.2656
_cell_length_b 8.2656
_cell_length_c 23.8151
_cell_angle_alpha 90.00
_cell_angle_beta 90.00
_cell_angle_gamma 120.00
_space_group_name_H-M_alt 'R -3 m'
_space_group_IT_number 166
_space_group_name_Hall '-R 3 2"'
loop_
_atom_site_label
_atom_site_type_symbol
_atom_site_fract_x
_atom_site_fract_y
_atom_site_fract_z
_atom_site_occupancy
Pr1 Pr 0.0000 0.0000 0.2339 1
Pr2 Pr 0.0113 0.5057 0.7677 1
Cu1 Cu 0.0000 0.0000 0.5000 1
Ru1 Ru 0.0000 0.5000 0.5000 1
Br1 Br 0.0000 0.0000 0.0000 1
Br2 Br 0.0000 0.5000 0.0000 1

# 4
# Ce2GaNi2Rh5, optimized geometry, DFT PBE
# ρ: 10052 kg/m3
# formation enthalpy at 0 K: -0.5889 eV/atom
data_Ce2GaNi2Rh5
_chemical_formula_sum 'Ce4 Ga2 Ni4 Rh10'
_cell_length_a 9.157
_cell_length_b 9.157
_cell_length_c 3.869
_cell_angle_alpha 90.00
_cell_angle_beta 90.00
_cell_angle_gamma 90.00
_space_group_name_H-M_alt 'P 4/m b m'
_space_group_IT_number 127
_space_group_name_Hall '-P 4 2ab'
loop_
_atom_site_label
_atom_site_type_symbol
_atom_site_fract_x
_atom_site_fract_y
_atom_site_fract_z
_atom_site_occupancy
Ce1 Ce 0.174 0.326 0.000 1
Ga1 Ga 0.000 0.000 0.000 1
Ni1 Ni 0.125 0.625 0.000 1
Rh1 Rh 0.000 0.500 0.500 1
Rh2 Rh 0.071 0.797 0.500 1

# 5
# Dy2VH, optimized geometry, DFT PBE
# ρ: 7728 kg/m3
data_Dy2VH
_chemical_formula_sum 'Dy6 V3 H3'
_cell_length_a 3.3104
_cell_length_b 3.3104
_cell_length_c 25.6047
_cell_angle_alpha 90.00
_cell_angle_beta 90.00
_cell_angle_gamma 120.00
_space_group_name_H-M_alt 'R -3 m'
_space_group_IT_number 166
_space_group_name_Hall '-R 3 2"'
loop_
_atom_site_label
_atom_site_type_symbol
_atom_site_fract_x
_atom_site_fract_y
_atom_site_fract_z
_atom_site_occupancy
Dy1 Dy 0.0000 0.0000 0.1111 1
V1 V 0.0000 0.0000 0.0000 1
H1 H 0.0000 0.0000 0.5000 1

# 6
# Mn4AgPd5, optimized geometry, DFT PBE
# ρ: 9223 kg/m3
# formation enthalpy at 0 K: -0.1773 eV/atom
data_Mn4AgPd5
_chemical_formula_sum 'Mn4 Ag1 Pd5'
_cell_length_a 3.195
_cell_length_b 3.195
_cell_length_c 15.161
_cell_angle_alpha 90.00
_cell_angle_beta 90.00
_cell_angle_gamma 90.00
_space_group_name_H-M_alt 'P 4/m m m'
_space_group_IT_number 123
_space_group_name_Hall '-P 4 2'
loop_
_atom_site_label
_atom_site_type_symbol
_atom_site_fract_x
_atom_site_fract_y
_atom_site_fract_z
_atom_site_occupancy
Mn1 Mn 0.000 0.000 0.099 1
Mn2 Mn 0.000 0.000 0.298 1
Ag1 Ag 0.000 0.000 0.500 1
Pd1 Pd 0.500 0.500 0.000 1
Pd2 Pd 0.500 0.500 0.196 1
Pd3 Pd 0.500 0.500 0.389 1

VASP energy
In order: -2.38; -4.49; -5.58; -6.91; -4.98; -6.73
Unit: eV/atom
DOS(E_F)
In order: 0.93; 0.80; 0.48; 1.00; 1.48; 0.33
Unit: states/eV per atom
Magnetization
In order: 0.00; 0.00; 0.00; 0.00; 2.98; 17.82
Unit: μB/f.u.